! PBE NaDy2Pt, optimized geometry; values from VASP
! N(E_F) = 0.491 states/eV/atom
! Electronic total energy = -0.3380 Ry/atom
! Energy of formation from the pure elements = -0.4573 eV/atom
&SYSTEM
  ibrav = 0, nat = 4, ntyp = 3
/
ATOMIC_SPECIES
Na 22.99 Na.upf
Pt 195.08 Pt.upf
Dy 162.50 Dy.upf
ATOMIC_POSITIONS crystal
Na 0.0000 0.0000 0.0000
Pt 0.5000 0.5000 0.5000
Dy 0.1197 0.1197 0.6410
Dy 0.8803 0.8803 0.3590
CELL_PARAMETERS angstrom
4.0843 0.0000 0.0000
2.0421 3.5371 0.0000
2.0421 1.1790 10.3582



! PBE NaHI2, optimized geometry; values from VASP
! N(E_F) = 0.281 states/eV/atom
! Electronic total energy = -0.1262 Ry/atom
&SYSTEM
  ibrav = 0, nat = 4, ntyp = 3
/
ATOMIC_SPECIES
I 126.90 I.upf
Na 22.99 Na.upf
H 1.01 H.upf
ATOMIC_POSITIONS crystal
I 0.1096 0.1096 0.6712
I 0.8904 0.8904 0.3288
Na 0.0000 0.0000 0.0000
H 0.5000 0.5000 0.5000
CELL_PARAMETERS angstrom
-3.4670 -2.1832 -0.8289
-0.3608 -2.0531 -3.6233
2.2944 -8.4643 2.1564



! PBE Na3MoCl7, optimized geometry; values from VASP
! Electronic total energy = -0.2792 Ry/atom
&SYSTEM
  ibrav = 0, nat = 11, ntyp = 3
/
ATOMIC_SPECIES
Na 22.99 Na.upf
Mo 95.94 Mo.upf
Cl 35.45 Cl.upf
ATOMIC_POSITIONS crystal
Na 0.7881 0.2372 0.4859
Na 0.4770 0.4770 0.0716
Na 0.2372 0.7881 0.4859
Mo 0.9529 0.9529 0.0247
Cl 0.1308 0.1308 0.1917
Cl 0.6513 0.1080 0.1985
Cl 0.0092 0.3159 0.7353
Cl 0.1080 0.6513 0.1985
Cl 0.6324 0.6324 0.3268
Cl 0.3159 0.0092 0.7353
Cl 0.8223 0.8223 0.7958
CELL_PARAMETERS angstrom
6.2085 -0.2355 2.7051
-1.6565 5.9881 2.7051
-0.3704 -0.4681 7.1128



! PBE Sm4Te2PIr, optimized geometry; values from VASP
! N(E_F) = 0.762 states/eV/atom
! Electronic total energy = -0.4556 Ry/atom
&SYSTEM
  ibrav = 0, nat = 8, ntyp = 4
/
ATOMIC_SPECIES
Sm 150.36 Sm.upf
Te 127.60 Te.upf
P 30.97 P.upf
Ir 192.22 Ir.upf
ATOMIC_POSITIONS crystal
Sm 0.5000 0.2424 0.2112
Sm 0.5000 0.7576 0.7888
Sm 0.0000 0.2662 0.7904
Sm 0.0000 0.7338 0.2096
Te 0.5000 0.0000 0.5000
Te 0.0000 0.5000 0.5000
P 0.0000 0.0000 0.0000
Ir 0.5000 0.5000 0.0000
CELL_PARAMETERS angstrom
-1.4562 2.2859 3.2258
4.1277 -3.9736 4.6792
4.1339 5.9717 -2.3655